# NdHo2Er2Sc2

NdHo2Er2Sc2 after structural relaxation (PBE, Alexandria via LeMat-Bulk).

abc: 3.4077 11.6741 5.4130
angles: 76.57 90.00 98.39
Fractional positions:
Nd: 0.0000 0.0000 0.5000
Ho: 0.5729 0.1459 0.9272
Ho: 0.4271 0.8541 0.0728
Er: 0.2077 0.4154 0.7925
Er: 0.7923 0.5846 0.2075
Sc: 0.6457 0.2914 0.3547
Sc: 0.3543 0.7086 0.6453

Its total magnetic moment is 0.01 μB/cell. For the density of states at the Fermi level, the calculation gives 1.86 states/eV per atom. As for the energy of formation: 0.074 eV per atom.